Compound: DyAsS
Source: the Alexandria database
Functional: PBE-GGA
Structure: relaxed

Summary:
E_tot in eV per atom: -5.9344

Unit cell a=3.7767 b=7.0340 c=9.5681 alpha=90.00 beta=90.00 gamma=90.00
Atoms (fractional coordinates):
As 0.7500 0.3952 0.5412
As 0.2500 0.1048 0.0412
As 0.7500 0.8952 0.9588
As 0.2500 0.6048 0.4588
S 0.2500 0.0862 0.6600
S 0.7500 0.4138 0.1600
S 0.2500 0.5862 0.8400
S 0.7500 0.9138 0.3400
Dy 0.2500 0.7062 0.1610
Dy 0.7500 0.2938 0.8390
Dy 0.2500 0.2062 0.3390
Dy 0.7500 0.7938 0.6610


Compound: Dy5As2S2
Source: the Alexandria database
Functional: PBE-GGA
Structure: relaxed

Summary:
E_tot in eV per atom: -5.8927

Unit cell a=7.5905 b=8.0078 c=8.0078 alpha=124.32 beta=90.00 gamma=90.00
Atoms (fractional coordinates):
Dy 0.0000 0.0000 0.0000
Dy 0.5000 0.5000 0.5000
Dy 0.1521 0.1987 0.4790
Dy 0.8479 0.5210 0.8013
Dy 0.6521 0.0210 0.3013
Dy 0.3479 0.6987 0.9790
Dy 0.8479 0.8013 0.5210
Dy 0.1521 0.4790 0.1987
Dy 0.3479 0.9790 0.6987
Dy 0.6521 0.3013 0.0210
As 0.3547 0.1452 0.1452
As 0.6453 0.8548 0.8548
As 0.8547 0.3548 0.3548
As 0.1453 0.6452 0.6452
S 0.0000 0.8061 0.1939
S 0.5000 0.3061 0.6939
S 0.0000 0.1939 0.8061
S 0.5000 0.6939 0.3061


Compound: DyAsS
Source: the Alexandria database
Functional: PBE-GGA
Structure: relaxed

Summary:
E_tot in eV per atom: -6.0134

Unit cell a=3.8246 b=3.8246 c=8.5325 alpha=90.00 beta=90.00 gamma=90.00
Atoms (fractional coordinates):
As 0.7500 0.2500 0.0000
As 0.2500 0.7500 0.0000
S 0.7500 0.7500 0.3742
S 0.2500 0.2500 0.6258
Dy 0.7500 0.7500 0.7088
Dy 0.2500 0.2500 0.2912


Compound: Dy5AsS4
Source: the Alexandria database
Functional: PBE-GGA
Structure: relaxed

Summary:
E_tot in eV per atom: -6.3342

Unit cell a=3.9447 b=6.8562 c=8.8256 alpha=74.88 beta=77.09 gamma=73.28
Atoms (fractional coordinates):
Dy 0.2003 0.9036 0.6959
Dy 0.7997 0.0964 0.3041
Dy 0.3982 0.3058 0.8979
Dy 0.0000 0.5000 0.5000
Dy 0.6018 0.6942 0.1021
As 0.0000 0.0000 0.0000
S 0.5983 0.2036 0.5998
S 0.2010 0.3948 0.2032
S 0.7990 0.6052 0.7968
S 0.4017 0.7964 0.4002


Compound: Dy6SbAs3S2
Source: the Alexandria database
Functional: PBE-GGA
Structure: relaxed

Summary:
E_tot in eV per atom: -6.1135

Unit cell a=4.1092 b=8.2117 c=9.1639 alpha=102.88 beta=102.96 gamma=90.00
Atoms (fractional coordinates):
Dy 0.3275 0.9143 0.6549
Dy 0.6672 0.5842 0.3345
Dy 0.6725 0.0857 0.3451
Dy 0.0020 0.2642 0.0039
Dy 0.9980 0.7358 0.9961
Dy 0.3328 0.4158 0.6655
Sb 0.5000 0.0000 0.0000
As 0.5000 0.5000 0.0000
As 0.8349 0.1695 0.6698
As 0.1651 0.8305 0.3302
S 0.8305 0.6624 0.6609
S 0.1695 0.3376 0.3391


Compound: DyScAsS
Source: the Alexandria database
Functional: PBE-GGA
Structure: relaxed

Summary:
E_tot in eV per atom: -6.5384

Unit cell a=3.8371 b=3.8373 c=7.0892 alpha=90.00 beta=105.68 gamma=120.00
Atoms (fractional coordinates):
Dy 0.4747 0.1353 0.6253
Sc 0.1287 0.9623 0.1063
As 0.3159 0.5559 0.8871
S 0.9586 0.3773 0.3510


no.,formation energy from raw total energies (eV per atom),DOS(E_F) (states/eV per cell)
1,-1.475,0.0
2,-1.386,13.9
3,-1.554,0.0
4,-1.917,2.8
5,-1.619,3.7
6,-1.611,3.0